Entry from Alexandria via LeMat-Bulk: a relaxed ScRe2Au crystal (PBE).

Its symmetry is I-4m2. Its calculated formation energy is 55.8 meV per atom. Its energy above the lowest structure with this stoichiometry is 179 meV/atom. Its energy is -8.570 eV per atom.

Unit cell a=4.7665 b=4.7665 c=4.7665 alpha=127.70 beta=127.70 gamma=77.11
Positions (direct):
Au  0.7500  0.2500  0.5000
Re  0.0000  0.0000  0.0000
Re  0.2500  0.7500  0.5000
Sc  0.5000  0.5000  0.0000